A relaxed structure of Nd2CdH, computed with GGA-PBE.

Cell: 3.7106 3.7106 8.3326 Å, 77.13 77.13 60.00°
Sites, in units of the cell vectors:
1 Nd 0.0595 0.0595 0.8215
2 Nd 0.2747 0.2747 0.1759
3 H 0.6663 0.6663 0.0012
4 Cd 0.4995 0.4995 0.5014

Results
**Excess energy over the best structure of this formula in the dataset**: 8.2 meV/atom
**Density of states at the Fermi level**: 3.32 states/eV/f.u.